No. 1
Entry from the Open Quantum Materials Database: RbZrTlSe3 after structural relaxation (GGA-PBE).

abc: 15.6040 3.9803 12.1112
angles: 90.00 90.00 90.00
Last column: nearest neighbours and their distance in Å.
Sites, in units of the cell vectors:
1 Rb 0.2339 0.2500 0.1123  6 Se 3.35-3.53
2 Rb 0.2661 0.7500 0.6123  6 Se 3.35-3.53
3 Rb 0.7339 0.2500 0.3877  6 Se 3.35-3.53
4 Rb 0.7661 0.7500 0.8877  6 Se 3.35-3.53
5 Zr 0.0699 0.7500 0.3706  6 Se 2.60-2.91
6 Zr 0.4301 0.2500 0.8706  6 Se 2.60-2.91
7 Zr 0.5699 0.7500 0.1294  6 Se 2.60-2.91
8 Zr 0.9301 0.2500 0.6294  6 Se 2.60-2.91
9 Tl 0.0790 0.7500 0.8657  3 Se 2.99-3.13
10 Tl 0.4210 0.2500 0.3657  3 Se 2.99-3.13
11 Tl 0.5790 0.7500 0.6343  3 Se 2.99-3.13
12 Tl 0.9210 0.2500 0.1343  3 Se 2.99-3.13
13 Se 0.0515 0.7500 0.6098  3 Zr 2.76-2.91
14 Se 0.0631 0.7500 0.1561  1 Zr 2.60
15 Se 0.1856 0.2500 0.3949  2 Zr 2.70
16 Se 0.3144 0.7500 0.8949  2 Zr 2.70
17 Se 0.4369 0.2500 0.6561  1 Zr 2.60
18 Se 0.4485 0.2500 0.1098  3 Zr 2.76-2.91
19 Se 0.5515 0.7500 0.8902  3 Zr 2.76-2.91
20 Se 0.5631 0.7500 0.3439  1 Zr 2.60
21 Se 0.6856 0.2500 0.1051  2 Zr 2.70
22 Se 0.8144 0.7500 0.6051  2 Zr 2.70
23 Se 0.9369 0.2500 0.8439  1 Zr 2.60
24 Se 0.9485 0.2500 0.3902  3 Zr 2.76-2.91

Computed properties:
- offset from the most stable computed form (meV/atom) = 4
- space-group type = Pnma, No. 62



No. 2
Entry from the Open Quantum Materials Database: Lu3Mo2W3N12 after structural relaxation (GGA-PBE).

abc: 10.9109 10.9109 10.9109
angles: 109.47 109.47 109.47
Last column: nearest neighbours and their distance in Å.
Sites, in units of the cell vectors:
1 Lu 0.1250 0.2500 0.3750  8 N 2.43-2.48
2 Lu 0.1250 0.3750 0.7500  8 N 2.43-2.48
3 Lu 0.2500 0.3750 0.1250  8 N 2.43-2.48
4 Lu 0.2500 0.8750 0.6250  8 N 2.43-2.48
5 Lu 0.3750 0.1250 0.2500  8 N 2.43-2.48
6 Lu 0.3750 0.7500 0.1250  8 N 2.43-2.48
7 Lu 0.6250 0.2500 0.8750  8 N 2.43-2.48
8 Lu 0.6250 0.8750 0.7500  8 N 2.43-2.48
9 Lu 0.7500 0.1250 0.3750  8 N 2.43-2.48
10 Lu 0.7500 0.6250 0.8750  8 N 2.43-2.48
11 Lu 0.8750 0.6250 0.2500  8 N 2.43-2.48
12 Lu 0.8750 0.7500 0.6250  8 N 2.43-2.48
13 Mo 0.0000 0.0000 0.0000  6 N 2.07
14 Mo 0.0000 0.0000 0.5000  6 N 2.07
15 Mo 0.0000 0.5000 0.0000  6 N 2.07
16 Mo 0.0000 0.5000 0.5000  6 N 2.07
17 Mo 0.5000 0.0000 0.0000  6 N 2.07
18 Mo 0.5000 0.0000 0.5000  6 N 2.07
19 Mo 0.5000 0.5000 0.0000  6 N 2.07
20 Mo 0.5000 0.5000 0.5000  6 N 2.07
21 W 0.1250 0.7500 0.8750  4 N 1.87
22 W 0.1250 0.8750 0.2500  4 N 1.87
23 W 0.2500 0.1250 0.8750  4 N 1.87
24 W 0.2500 0.6250 0.3750  4 N 1.87
25 W 0.3750 0.2500 0.6250  4 N 1.87
26 W 0.3750 0.6250 0.7500  4 N 1.87
27 W 0.6250 0.3750 0.2500  4 N 1.87
28 W 0.6250 0.7500 0.3750  4 N 1.87
29 W 0.7500 0.3750 0.6250  4 N 1.87
30 W 0.7500 0.8750 0.1250  4 N 1.87
31 W 0.8750 0.1250 0.7500  4 N 1.87
32 W 0.8750 0.2500 0.1250  4 N 1.87
33 N 0.0270 0.2084 0.1204  1 W 1.87, 1 Mo 2.07
34 N 0.0270 0.3186 0.9066  1 W 1.87, 1 Mo 2.07
35 N 0.0881 0.7084 0.6814  1 W 1.87, 1 Mo 2.07
36 N 0.0881 0.8796 0.4066  1 W 1.87, 1 Mo 2.07
37 N 0.0934 0.6204 0.4119  1 W 1.87, 1 Mo 2.07
38 N 0.0934 0.9730 0.6814  1 W 1.87, 1 Mo 2.07
39 N 0.1204 0.0270 0.2084  1 W 1.87, 1 Mo 2.07
40 N 0.1204 0.5934 0.9119  1 W 1.87, 1 Mo 2.07
41 N 0.1814 0.2084 0.5881  1 W 1.87, 1 Mo 2.07
42 N 0.1814 0.4730 0.5934  1 W 1.87, 1 Mo 2.07
43 N 0.2084 0.1204 0.0270  1 W 1.87, 1 Mo 2.07
44 N 0.2084 0.5881 0.1814  1 W 1.87, 1 Mo 2.07
45 N 0.2916 0.3186 0.9119  1 W 1.87, 1 Mo 2.07
46 N 0.2916 0.4730 0.3796  1 W 1.87, 1 Mo 2.07
47 N 0.3186 0.9066 0.0270  1 W 1.87, 1 Mo 2.07
48 N 0.3186 0.9119 0.2916  1 W 1.87, 1 Mo 2.07
49 N 0.3796 0.2916 0.4730  1 W 1.87, 1 Mo 2.07
50 N 0.3796 0.5881 0.9066  1 W 1.87, 1 Mo 2.07
51 N 0.4066 0.0881 0.8796  1 W 1.87, 1 Mo 2.07
52 N 0.4066 0.8186 0.5270  1 W 1.87, 1 Mo 2.07
53 N 0.4119 0.0934 0.6204  1 W 1.87, 1 Mo 2.07
54 N 0.4119 0.8186 0.7916  1 W 1.87, 1 Mo 2.07
55 N 0.4730 0.3796 0.2916  1 W 1.87, 1 Mo 2.07
56 N 0.4730 0.5934 0.1814  1 W 1.87, 1 Mo 2.07
57 N 0.5270 0.4066 0.8186  1 W 1.87, 1 Mo 2.07
58 N 0.5270 0.6204 0.7084  1 W 1.87, 1 Mo 2.07
59 N 0.5881 0.1814 0.2084  1 W 1.87, 1 Mo 2.07
60 N 0.5881 0.9066 0.3796  1 W 1.87, 1 Mo 2.07
61 N 0.5934 0.1814 0.4730  1 W 1.87, 1 Mo 2.07
62 N 0.5934 0.9119 0.1204  1 W 1.87, 1 Mo 2.07
63 N 0.6204 0.4119 0.0934  1 W 1.87, 1 Mo 2.07
64 N 0.6204 0.7084 0.5270  1 W 1.87, 1 Mo 2.07
65 N 0.6814 0.0881 0.7084  1 W 1.87, 1 Mo 2.07
66 N 0.6814 0.0934 0.9730  1 W 1.87, 1 Mo 2.07
67 N 0.7084 0.5270 0.6204  1 W 1.87, 1 Mo 2.07
68 N 0.7084 0.6814 0.0881  1 W 1.87, 1 Mo 2.07
69 N 0.7916 0.4119 0.8186  1 W 1.87, 1 Mo 2.07
70 N 0.7916 0.8796 0.9730  1 W 1.87, 1 Mo 2.07
71 N 0.8186 0.5270 0.4066  1 W 1.87, 1 Mo 2.07
72 N 0.8186 0.7916 0.4119  1 W 1.87, 1 Mo 2.07
73 N 0.8796 0.4066 0.0881  1 W 1.87, 1 Mo 2.07
74 N 0.8796 0.9730 0.7916  1 W 1.87, 1 Mo 2.07
75 N 0.9066 0.0270 0.3186  1 W 1.87, 1 Mo 2.07
76 N 0.9066 0.3796 0.5881  1 W 1.87, 1 Mo 2.07
77 N 0.9119 0.1204 0.5934  1 W 1.87, 1 Mo 2.07
78 N 0.9119 0.2916 0.3186  1 W 1.87, 1 Mo 2.07
79 N 0.9730 0.6814 0.0934  1 W 1.87, 1 Mo 2.07
80 N 0.9730 0.7916 0.8796  1 W 1.87, 1 Mo 2.07

Computed properties:
- E (eV per atom) = -9.435
- space-group type = Ia-3d, No. 230



No. 3
Entry from the Open Quantum Materials Database: RbNaTcIr after structural relaxation (GGA-PBE).

abc: 4.9558 4.9558 4.9558
angles: 60.00 60.00 60.00
Last column: nearest neighbours and their distance in Å.
Sites, in units of the cell vectors:
1 Rb 0.0000 0.0000 0.0000  4 Na 3.03, 4 Ir 3.03
2 Na 0.7500 0.7500 0.7500  4 Rb 3.03, 4 Tc 3.03
3 Tc 0.5000 0.5000 0.5000  4 Na 3.03, 4 Ir 3.03
4 Ir 0.2500 0.2500 0.2500  4 Tc 3.03, 4 Rb 3.03

Computed properties:
- offset from the most stable computed form (meV/atom) = 36
- space-group type = F-43m, No. 216



No. 4
Entry from the Open Quantum Materials Database: LuMgTcMo after structural relaxation (GGA-PBE).

abc: 4.6518 4.6518 4.6518
angles: 60.00 60.00 60.00
Last column: nearest neighbours and their distance in Å.
Sites, in units of the cell vectors:
1 Lu 0.0000 0.0000 0.0000  4 Mo 2.85, 4 Mg 2.85
2 Mg 0.2500 0.2500 0.2500  4 Tc 2.85, 4 Lu 2.85
3 Tc 0.5000 0.5000 0.5000  4 Mo 2.85, 4 Mg 2.85
4 Mo 0.7500 0.7500 0.7500  4 Lu 2.85, 4 Tc 2.85

Computed properties:
- offset from the most stable computed form (meV/atom) = 5
- space-group type = F-43m, No. 216



No. 5
Entry from the Open Quantum Materials Database: HoB4Pt after structural relaxation (GGA-PBE).

abc: 4.9294 4.9294 4.9294
angles: 142.56 115.48 77.04
Last column: nearest neighbours and their distance in Å.
Sites, in units of the cell vectors:
1 Ho 0.0000 0.0000 0.0000  12 B 2.60-2.64
2 B 0.0605 0.7383 0.3221  3 B 1.76-1.87
3 B 0.4162 0.7383 0.6779  3 B 1.76-1.87
4 B 0.5838 0.2617 0.3221  3 B 1.76-1.87
5 B 0.9395 0.2617 0.6779  3 B 1.76-1.87
6 Pt 0.5000 0.5000 0.0000  12 B 2.50-2.73

Computed properties:
- offset from the most stable computed form (meV/atom) = 0
- space-group type = Immm, No. 71



No. 6
Entry from the Open Quantum Materials Database: AlH6PtAu after structural relaxation (GGA-PBE).

abc: 4.9952 4.9952 4.9952
angles: 60.00 60.00 60.00
Last column: nearest neighbours and their distance in Å.
Sites, in units of the cell vectors:
1 Al 0.0000 0.0000 0.0000  12 H 2.50
2 H 0.0102 0.0102 0.4898  1 Pt 1.69
3 H 0.0102 0.4898 0.0102  1 Pt 1.69
4 H 0.0102 0.4898 0.4898  1 Pt 1.69
5 H 0.4898 0.0102 0.0102  1 Pt 1.69
6 H 0.4898 0.0102 0.4898  1 Pt 1.69
7 H 0.4898 0.4898 0.0102  1 Pt 1.69
8 Pt 0.2500 0.2500 0.2500  6 H 1.69
9 Au 0.5000 0.5000 0.5000  12 H 2.50

Computed properties:
- E (eV per atom) = -3.355
- space-group type = F-43m, No. 216



No. 7
Entry from the Open Quantum Materials Database: YHfTe after structural relaxation (GGA-PBE).

abc: 4.8759 4.8759 4.8759
angles: 60.00 60.00 60.00
Last column: nearest neighbours and their distance in Å.
Sites, in units of the cell vectors:
1 Y 0.0000 0.0000 0.0000  4 Te 2.99
2 Hf 0.5000 0.5000 0.5000  4 Te 2.99
3 Te 0.7500 0.7500 0.7500  4 Hf 2.99, 4 Y 2.99

Computed properties:
- offset from the most stable computed form (meV/atom) = 0
- space-group type = F-43m, No. 216



No. 8
Entry from the Open Quantum Materials Database: Ho3Zn3Ir2Pt after structural relaxation (GGA-PBE).

abc: 7.1553 7.1553 3.8854
angles: 90.00 90.00 120.00
Last column: nearest neighbours and their distance in Å.
Sites, in units of the cell vectors:
1 Ho 0.0000 0.5917 0.0000  4 Ir 2.91, 1 Pt 2.92, 6 Zn 3.10-3.21
2 Ho 0.4083 0.4083 0.0000  4 Ir 2.91, 1 Pt 2.92, 6 Zn 3.10-3.21
3 Ho 0.5917 0.0000 0.0000  4 Ir 2.91, 1 Pt 2.92, 6 Zn 3.10-3.21
4 Zn 0.0000 0.2535 0.5000  2 Pt 2.66, 2 Ir 2.72
5 Zn 0.2535 0.0000 0.5000  2 Pt 2.66, 2 Ir 2.72
6 Zn 0.7465 0.7465 0.5000  2 Pt 2.66, 2 Ir 2.72
7 Ir 0.3333 0.6667 0.5000  3 Zn 2.72, 6 Ho 2.91
8 Ir 0.6667 0.3333 0.5000  3 Zn 2.72, 6 Ho 2.91
9 Pt 0.0000 0.0000 0.0000  6 Zn 2.66, 3 Ho 2.92

Computed properties:
- calculated formation energy (meV per atom) = -804
- space-group type = P-62m, No. 189



No. 9
Entry from the Open Quantum Materials Database: LiLu2Tc after structural relaxation (GGA-PBE).

abc: 4.4774 4.4774 11.2065
angles: 90.00 90.00 120.00
Last column: nearest neighbours and their distance in Å.
Sites, in units of the cell vectors:
1 Li 0.3333 0.6667 0.2500  6 Lu 3.16
2 Li 0.6667 0.3333 0.7500  6 Lu 3.16
3 Lu 0.3333 0.6667 0.5885  3 Tc 2.77
4 Lu 0.3333 0.6667 0.9115  3 Tc 2.77
5 Lu 0.6667 0.3333 0.0885  3 Tc 2.77
6 Lu 0.6667 0.3333 0.4115  3 Tc 2.77
7 Tc 0.0000 0.0000 0.0000  6 Lu 2.77
8 Tc 0.0000 0.0000 0.5000  6 Lu 2.77

Computed properties:
- offset from the most stable computed form (meV/atom) = 59
- space-group type = P6_3/mmc, No. 194



No. 10
Entry from the Open Quantum Materials Database: RePOsO after structural relaxation (GGA-PBE).

abc: 3.8642 5.7811 4.9841
angles: 90.00 90.00 90.00
Last column: nearest neighbours and their distance in Å.
Sites, in units of the cell vectors:
1 Re 0.0000 0.0883 0.0000  2 O 1.93
2 Re 0.0000 0.9117 0.5000  2 O 1.93
3 P 0.0000 0.3263 0.5549  2 Re 2.41-2.61, 2 Os 2.41
4 P 0.0000 0.6737 0.0549  2 Re 2.41-2.61, 2 Os 2.41
5 Os 0.5000 0.4343 0.9711  1 O 2.01
6 Os 0.5000 0.5657 0.4711  1 O 2.01
7 O 0.5000 0.0871 0.0035  2 Re 1.93, 1 Os 2.01
8 O 0.5000 0.9129 0.5035  2 Re 1.93, 1 Os 2.01

Computed properties:
- offset from the most stable computed form (meV/atom) = 0
- space-group type = Pmc2_1, No. 26